No. 1
# Sr2LiZn

Sr2LiZn after structural relaxation (PBEsol, Alexandria via LeMat-Bulk).

POSCAR file:
```
Sr2LiZn
1.0
3.8417 0.0000 0.0000
0.0000 3.8417 0.0000
0.0000 0.0000 8.4786
Sr Zn Li
2 1 1
Direct
0.0000 0.0000 0.9420
0.5000 0.5000 0.3234
0.0000 0.0000 0.5513
0.5000 0.5000 0.6833
```

Space group ... P4mm
N(E_F) ... 2.39 states/eV/cell
Size of the total moment ... 0.0 μB per formula unit
ΔE_f ... -0.03 eV per atom
Crystal system ... tetragonal

---

No. 2
# ZrMnO3

ZrMnO3 after structural relaxation (PBEsol, Alexandria via LeMat-Bulk).

POSCAR file:
```
ZrMnO3
1.0
5.3719 0.0000 0.0000
2.6860 4.6522 0.0000
2.6860 1.5507 4.7897
O Mn Zr
6 2 2
Direct
0.6887 0.4148 0.8120
0.0845 0.6887 0.8120
0.9148 0.1887 0.3120
0.1887 0.5845 0.3120
0.5845 0.9148 0.3120
0.4148 0.0845 0.8120
0.5148 0.5148 0.4556
0.0148 0.0148 0.9556
0.2966 0.2966 0.1101
0.7966 0.7966 0.6101
```

Space group ... R3c
Size of the total moment ... 5.0 μB per formula unit
Crystal system ... trigonal

---

No. 3
# K2PbAu

K2PbAu after structural relaxation (PBEsol, Alexandria via LeMat-Bulk).

POSCAR file:
```
K2PbAu
1.0
4.6140 0.0000 0.0000
0.0000 4.6140 0.0000
0.0000 0.0000 5.4533
K Pb Au
2 1 1
Direct
0.5000 0.0000 0.0000
0.0000 0.5000 0.0000
0.5000 0.5000 0.5000
0.0000 0.0000 0.5000
```

Space group ... P4/mmm
N(E_F) ... 2.73 states/eV/cell
Size of the total moment ... 0.0 μB per formula unit
ΔE_f ... 0.01 eV per atom
Crystal system ... tetragonal

---

No. 4
# Zr2CdFe

Zr2CdFe after structural relaxation (PBEsol, Alexandria via LeMat-Bulk).

POSCAR file:
```
Zr2CdFe
1.0
3.2737 0.0000 0.0000
0.0000 4.2282 0.0000
-1.6369 0.0000 5.3791
Zr Fe Cd
2 1 1
Direct
0.0984 0.0000 0.1968
0.4263 0.5000 0.8526
0.6502 0.5000 0.3004
0.8197 0.0000 0.6393
```

Space group ... Amm2
N(E_F) ... 2.89 states/eV/cell
Size of the total moment ... 0.0 μB per formula unit
ΔE_f ... 0.03 eV per atom
Crystal system ... orthorhombic

---

No. 5
# KTl3Br

KTl3Br after structural relaxation (PBEsol, Alexandria via LeMat-Bulk).

POSCAR file:
```
KTl3Br
1.0
-4.9679 1.3603 -3.2847
-2.9953 -4.6420 2.6078
-1.9152 3.7313 4.4418
Tl Br K
3 1 1
Direct
0.5000 0.0000 0.0000
0.0000 0.0000 0.5000
0.0000 0.5000 0.0000
0.5000 0.5000 0.5000
0.0000 0.0000 0.0000
```

Space group ... Pm-3m
N(E_F) ... 2.64 states/eV/cell
Size of the total moment ... 0.0 μB per formula unit
Crystal system ... cubic

---

No. 6
# LiSc2Os

LiSc2Os after structural relaxation (PBEsol, Alexandria via LeMat-Bulk).

POSCAR file:
```
LiSc2Os
1.0
-2.2097 2.9700 -2.6702
-0.1603 -0.6687 -4.5123
-3.9270 -1.2041 -1.9906
Sc Os Li
2 1 1
Direct
0.7500 0.7500 0.7500
0.2500 0.2500 0.2500
0.5000 0.5000 0.5000
0.0000 0.0000 0.0000
```

Space group ... Fm-3m
N(E_F) ... 2.76 states/eV/cell
E above lowest polymorph ... 0 meV/atom
Size of the total moment ... 0.0 μB per formula unit
ΔE_f ... -0.31 eV per atom
Crystal system ... cubic

---

No. 7
# Ta2FeRe

Ta2FeRe after structural relaxation (PBEsol, Alexandria via LeMat-Bulk).

POSCAR file:
```
Ta2FeRe
1.0
3.1244 0.0000 0.0000
0.0000 3.1244 0.0000
0.0000 0.0000 6.1411
Fe Ta Re
1 2 1
Direct
0.5000 0.5000 0.0000
0.0000 0.0000 0.2421
0.0000 0.0000 0.7579
0.5000 0.5000 0.5000
```

Space group ... P4/mmm
N(E_F) ... 2.35 states/eV/cell
Size of the total moment ... 0.8 μB per formula unit
ΔE_f ... -0.26 eV per atom
Crystal system ... tetragonal

---

No. 8
# Hg3ClF

Hg3ClF after structural relaxation (PBEsol, Alexandria via LeMat-Bulk).

POSCAR file:
```
Hg3ClF
1.0
5.4213 0.0000 0.0000
0.0000 5.4213 0.0000
0.0000 0.0000 5.4213
F Hg Cl
1 3 1
Direct
0.5000 0.5000 0.5000
0.0000 0.0000 0.5000
0.0000 0.5000 0.0000
0.5000 0.0000 0.0000
0.0000 0.0000 0.0000
```

Space group ... Pm-3m
N(E_F) ... 2.44 states/eV/cell
Size of the total moment ... 0.0 μB per formula unit
Crystal system ... cubic

---

No. 9
# AlAgP3

AlAgP3 after structural relaxation (PBEsol, Alexandria via LeMat-Bulk).

POSCAR file:
```
AlAgP3
1.0
4.5782 0.0000 0.0000
0.0000 4.5782 0.0000
0.0000 0.0000 4.5782
P Al Ag
3 1 1
Direct
0.5000 0.0000 0.0000
0.0000 0.0000 0.5000
0.0000 0.5000 0.0000
0.0000 0.0000 0.0000
0.5000 0.5000 0.5000
```

Space group ... Pm-3m
N(E_F) ... 3.38 states/eV/cell
Size of the total moment ... 0.0 μB per formula unit
ΔE_f ... 0.81 eV per atom
Crystal system ... cubic

---

No. 10
# Li2SiNiO4

Li2SiNiO4 after structural relaxation (PBEsol, Alexandria via LeMat-Bulk).

POSCAR file:
```
Li2SiNiO4
1.0
-1.5267 -0.2974 -4.5820
-5.0230 -1.2216 1.7529
-1.4260 5.9212 0.0402
O Ni Li Si
8 2 4 2
Direct
0.8943 0.8202 0.2225
0.3943 0.1798 0.7225
0.3992 0.6113 0.4988
0.9042 0.8135 0.7760
0.3467 0.6782 0.0081
0.8992 0.3887 0.9988
0.8467 0.3218 0.5081
0.4042 0.1865 0.2760
0.9905 0.1615 0.7669
0.4905 0.8385 0.2669
0.4956 0.3480 0.0014
0.9982 0.1728 0.2489
0.4982 0.8272 0.7489
0.9956 0.6520 0.5014
0.5066 0.3256 0.5012
0.0066 0.6744 0.0012
```

Space group ... Pc
N(E_F) ... 7.10 states/eV/cell
E above lowest polymorph ... 12 meV/atom
Size of the total moment ... 2.0 μB per formula unit
Crystal system ... monoclinic

---

No. 11
# Be2TlCd

Be2TlCd after structural relaxation (PBEsol, Alexandria via LeMat-Bulk).

POSCAR file:
```
Be2TlCd
1.0
-1.4971 2.4178 1.1258
-2.4094 1.1407 -1.4994
-6.3668 -3.9278 4.1233
Be Cd Tl
2 1 1
Direct
0.7393 0.7393 0.7820
0.0146 0.0146 0.9563
0.4849 0.4849 0.5453
0.2612 0.2612 0.2165
```

Space group ... R3m
N(E_F) ... 1.09 states/eV/cell
E above lowest polymorph ... 0 meV/atom
Size of the total moment ... 0.0 μB per formula unit
ΔE_f ... 0.58 eV per atom
Crystal system ... trigonal

---

No. 12
# TaSb8

TaSb8 after structural relaxation (PBEsol, Alexandria via LeMat-Bulk).

POSCAR file:
```
TaSb8
1.0
-0.7901 -1.5927 -4.3080
-5.7052 -4.5593 0.2111
-4.6817 4.5132 -3.3309
Sb Ta
8 1
Direct
0.0000 0.3181 0.6819
0.0000 0.6819 0.3181
0.6540 0.6919 0.0000
0.3181 0.6819 0.6819
0.6819 0.3181 0.3181
0.3460 0.3081 0.0000
0.3460 0.0000 0.3081
0.6540 0.0000 0.6919
0.0000 0.0000 0.0000
```

Space group ... I4/mmm
N(E_F) ... 5.87 states/eV/cell
Size of the total moment ... 0.0 μB per formula unit
Crystal system ... tetragonal

---

No. 13
# Na2CdO2

Na2CdO2 after structural relaxation (PBEsol, Alexandria via LeMat-Bulk).

POSCAR file:
```
Na2CdO2
1.0
9.2568 -0.0033 0.0067
-3.0650 8.7406 0.0032
-3.0675 -4.3727 7.5592
Na Cd O
16 8 16
Direct
0.7378 0.7377 0.7665
0.7713 0.7282 0.2804
0.7493 0.5098 0.4653
0.2732 0.2648 0.2303
0.5484 0.0135 0.7701
0.9840 0.0363 0.2544
0.7589 0.2144 0.2268
0.0170 0.9667 0.7358
0.2371 0.2844 0.7392
0.2695 0.4833 0.5377
0.9653 0.4558 0.7353
0.2753 0.5417 0.0539
0.4924 0.7220 0.4564
0.0447 0.7755 0.0374
0.4557 0.2286 0.0057
0.4472 0.9835 0.2241
0.2253 0.7723 0.7689
0.9610 0.2230 0.9602
0.2160 0.9582 0.4886
0.7704 0.0412 0.5034
0.5142 0.2805 0.5423
0.7188 0.4638 0.9514
0.5415 0.7604 0.9980
0.0282 0.5399 0.2791
0.2633 0.5524 0.7966
0.2678 0.7554 0.5299
0.2525 0.0371 0.3002
0.0022 0.0100 0.5002
0.9775 0.7187 0.7508
0.0282 0.2874 0.2382
0.4669 0.2207 0.7427
0.7136 0.2421 0.4706
0.5449 0.7904 0.2544
0.7743 0.7383 0.0250
0.9872 0.4934 0.0065
0.7571 0.9781 0.7128
0.2117 0.2535 0.9683
0.7500 0.4586 0.2036
0.5073 0.4962 0.5021
0.4932 0.9822 0.9870
```

Space group ... P1
Size of the total moment ... 0.0 μB per formula unit
Crystal system ... triclinic

---

No. 14
# Be2TlCd

Be2TlCd after structural relaxation (PBEsol, Alexandria via LeMat-Bulk).

POSCAR file:
```
Be2TlCd
1.0
-2.7690 0.0508 -0.8208
0.0126 -1.1034 -5.1933
-1.2358 -5.0162 -1.2240
Be Tl Cd
2 1 1
Direct
0.7549 0.2451 0.2451
0.2451 0.7549 0.7549
0.0000 0.5000 0.5000
0.5000 0.0000 0.0000
```

Space group ... Immm
N(E_F) ... 1.61 states/eV/cell
E above lowest polymorph ... 111 meV/atom
Size of the total moment ... 0.0 μB per formula unit
ΔE_f ... 0.69 eV per atom
Crystal system ... orthorhombic

---

No. 15
# CoAu2

CoAu2 after structural relaxation (PBEsol, Alexandria via LeMat-Bulk).

POSCAR file:
```
CoAu2
1.0
-0.5849 0.1233 2.7441
-4.3902 -2.1343 0.5974
1.1327 -6.7542 1.9822
Au Co
4 2
Direct
0.1639 0.2657 0.4066
0.4918 0.8024 0.2140
0.5082 0.1976 0.7860
0.8361 0.7343 0.5934
0.1922 0.6928 0.9229
0.8078 0.3072 0.0771
```

Space group ... C2/m
N(E_F) ... 6.11 states/eV/cell
Size of the total moment ... 1.8 μB per formula unit
ΔE_f ... 0.16 eV per atom
Crystal system ... monoclinic

---

No. 16
# MnHg2P

MnHg2P after structural relaxation (PBEsol, Alexandria via LeMat-Bulk).

POSCAR file:
```
MnHg2P
1.0
-0.7746 3.5315 -1.8813
-0.9132 -2.0217 -3.4190
-3.2786 -0.9965 3.8941
Hg P Mn
2 1 1
Direct
0.7500 0.2500 0.5000
0.0000 0.0000 0.0000
0.2500 0.7500 0.5000
0.5000 0.5000 0.0000
```

Space group ... I-4m2
N(E_F) ... 2.84 states/eV/cell
Size of the total moment ... 3.7 μB per formula unit
ΔE_f ... 0.44 eV per atom
Crystal system ... tetragonal

---

No. 17
# NiAgAu2

NiAgAu2 after structural relaxation (PBEsol, Alexandria via LeMat-Bulk).

POSCAR file:
```
NiAgAu2
1.0
-0.6319 -2.0731 -1.8124
3.7669 1.1725 -2.6546
2.0807 -2.0904 3.8676
Au Ag Ni
2 1 1
Direct
0.9998 0.0051 0.9996
0.2395 0.7335 0.4791
0.7593 0.2539 0.5187
0.5013 0.5074 0.0026
```

Space group ... Cm
N(E_F) ... 2.44 states/eV/cell
E above lowest polymorph ... 65 meV/atom
Size of the total moment ... 0.0 μB per formula unit
ΔE_f ... 0.08 eV per atom
Crystal system ... monoclinic

---

No. 18
# BaAg2GeSe4

BaAg2GeSe4 after structural relaxation (PBEsol, Alexandria via LeMat-Bulk).

POSCAR file:
```
BaAg2GeSe4
1.0
6.4946 0.0452 0.0240
-2.7909 5.8646 -0.0240
2.4331 2.5906 5.4361
Se Ag Ge Ba
4 2 1 1
Direct
0.8875 0.3594 0.1419
0.1125 0.9705 0.5281
0.5014 0.0295 0.8581
0.4986 0.6406 0.4719
0.0000 0.3178 0.6822
0.0000 0.6822 0.3178
0.5000 0.0000 0.5000
0.5000 0.5000 0.0000
```

Space group ... I222
N(E_F) ... 0.12 states/eV/cell
Size of the total moment ... 0.0 μB per formula unit
Crystal system ... orthorhombic

---

No. 19
# BeGeO2

BeGeO2 after structural relaxation (PBEsol, Alexandria via LeMat-Bulk).

POSCAR file:
```
BeGeO2
1.0
4.8082 0.0000 0.0000
-2.4041 4.2870 0.1144
0.0000 2.5883 4.0521
O Ge Be
4 2 2
Direct
0.3750 0.2500 0.2272
0.2272 0.7500 0.8750
0.5228 0.7500 0.3750
0.8750 0.2500 0.5228
0.7500 0.5000 0.7500
0.0000 0.0000 0.0000
0.5000 0.0000 0.5000
0.2500 0.5000 0.2500
```

Space group ... I-42d
N(E_F) ... 0.00 states/eV/cell
Size of the total moment ... 0.0 μB per formula unit
Crystal system ... tetragonal

---

No. 20
# Mn3TeBr

Mn3TeBr after structural relaxation (PBEsol, Alexandria via LeMat-Bulk).

POSCAR file:
```
Mn3TeBr
1.0
5.0014 0.0000 0.0000
0.0000 5.0014 0.0000
0.0000 0.0000 5.0014
Mn Br Te
3 1 1
Direct
0.5000 0.0000 0.0000
0.0000 0.0000 0.5000
0.0000 0.5000 0.0000
0.5000 0.5000 0.5000
0.0000 0.0000 0.0000
```

Space group ... Pm-3m
N(E_F) ... 4.70 states/eV/cell
E above lowest polymorph ... 30 meV/atom
Size of the total moment ... 12.0 μB per formula unit
Crystal system ... cubic

---

No. 21
# MgCuTc2

MgCuTc2 after structural relaxation (PBEsol, Alexandria via LeMat-Bulk).

POSCAR file:
```
MgCuTc2
1.0
-2.1204 2.1223 -0.9878
-2.2651 -2.1966 0.1427
-1.1187 1.5221 5.6714
Mg Cu Tc
1 1 2
Direct
0.5000 0.5000 0.5000
0.5000 0.5000 0.0000
0.0000 0.0000 0.8077
0.0000 0.0000 0.1923
```

Space group ... P4/mmm
N(E_F) ... 2.80 states/eV/cell
Size of the total moment ... 0.0 μB per formula unit
ΔE_f ... 0.44 eV per atom
Crystal system ... tetragonal

---

No. 22
# ScSb2O2

ScSb2O2 after structural relaxation (PBEsol, Alexandria via LeMat-Bulk).

POSCAR file:
```
ScSb2O2
1.0
-3.0158 2.2471 -0.8179
-2.1591 -1.9928 2.4861
4.1862 3.6161 3.5549
Sc Sb O
1 2 2
Direct
0.0000 0.0000 0.0000
0.2500 0.7500 0.5000
0.7500 0.2500 0.5000
0.4011 0.4011 0.8021
0.5989 0.5989 0.1979
```

Space group ... I4/mmm
N(E_F) ... 2.77 states/eV/cell
Size of the total moment ... 0.0 μB per formula unit
Crystal system ... tetragonal

---

No. 23
# LaP2S2

LaP2S2 after structural relaxation (PBEsol, Alexandria via LeMat-Bulk).

POSCAR file:
```
LaP2S2
1.0
4.5245 0.0000 0.0000
0.0000 4.5245 0.0000
0.0000 0.0000 4.7379
P La S
2 1 2
Direct
0.0000 0.5000 0.0000
0.5000 0.0000 0.0000
0.5000 0.5000 0.5000
0.0000 0.0000 0.0000
0.0000 0.0000 0.5000
```

Space group ... P4/mmm
N(E_F) ... 3.05 states/eV/cell
Size of the total moment ... 0.0 μB per formula unit
Crystal system ... tetragonal

---

No. 24
# Mg11Mn2O13

Mg11Mn2O13 after structural relaxation (PBEsol, Alexandria via LeMat-Bulk).

POSCAR file:
```
Mg11Mn2O13
1.0
-1.6696 -2.4937 0.1813
2.6505 -1.5614 2.9319
-11.2627 10.2671 12.5695
O Mg Mn
13 11 2
Direct
0.5000 0.0000 0.0000
0.4238 0.9238 0.8475
0.0378 0.5378 0.0757
0.8872 0.3872 0.7744
0.8057 0.3057 0.6115
0.3466 0.8466 0.6931
0.6534 0.1534 0.3069
0.1128 0.6128 0.2256
0.1943 0.6943 0.3885
0.5762 0.0762 0.1525
0.7305 0.2305 0.4610
0.2695 0.7695 0.5390
0.9622 0.4622 0.9243
0.5758 0.5758 0.1515
0.8857 0.8857 0.7714
0.0380 0.0380 0.0761
0.5000 0.5000 0.0000
0.7313 0.7313 0.4627
0.1143 0.1143 0.2286
0.1926 0.1926 0.3851
0.4242 0.4242 0.8485
0.9620 0.9620 0.9239
0.2687 0.2687 0.5373
0.8074 0.8074 0.6149
0.3465 0.3465 0.6930
0.6535 0.6535 0.3070
```

Space group ... Immm
N(E_F) ... 0.16 states/eV/cell
Size of the total moment ... 10.0 μB per formula unit
Crystal system ... orthorhombic

---

In eV/f.u., the electronic total energy values for the records above are, in order, -7.34; -47.16; -10.15; -28.20; -8.49; -28.64; -48.45; -4.88; -20.70; -52.80; -9.52; -46.63; -20.38; -9.07; -15.11; -14.94; -17.01; -34.62; -25.66; -29.64; -26.83; -26.75; -27.53; -171.32.